1.
The following is a DFT calculation (SCAN) of a PBEsol-optimized structure of BeCrSi3.

uncorrected formation energy: 856 meV per atom
DOS at the Fermi energy: 0.80 states/eV/cell

Lattice parameters (Å, degrees): 4.414 4.414 4.414 90.00 90.00 90.00
Space group Pm-3m (No. 221)
Symmetry-distinct sites (fractional):
Be 0.000 0.000 0.000
Cr 0.500 0.500 0.500
Si 0.000 0.500 0.500

---

2.
The following is a DFT calculation (SCAN) of a PBEsol-optimized structure of ScTiHg3.

energy of formation from the pure elements: 1.8 eV per formula unit
DOS at the Fermi energy: 4.10 states/eV/cell

Lattice parameters (Å, degrees): 5.057 5.057 5.057 90.00 90.00 90.00
Space group Pm-3m (No. 221)
Symmetry-distinct sites (fractional):
Sc 0.000 0.000 0.000
Ti 0.500 0.500 0.500
Hg 0.000 0.500 0.500

---

3.
The following is a DFT calculation (SCAN) of a PBEsol-optimized structure of Mg2Zn.

energy of formation from the pure elements: -0.3 eV per formula unit
DOS at the Fermi energy: 1.67 states/eV/cell

Lattice parameters (Å, degrees): 3.094 3.242 11.437 90.00 90.00 90.00
Space group Immm (No. 71)
Symmetry-distinct sites (fractional):
Mg 0.000 0.000 0.151
Zn 0.000 0.000 0.500

---

4.
The following is a DFT calculation (SCAN) of a PBEsol-optimized structure of YTiNb2.

energy of formation from the pure elements: 1.7 eV per formula unit
DOS at the Fermi energy: 28.30 states/eV/cell

Lattice parameters (Å, degrees): 6.747 6.747 6.747 90.00 90.00 90.00
Space group Fm-3m (No. 225)
Symmetry-distinct sites (fractional):
Y 0.000 0.000 0.000
Ti 0.000 0.000 0.500
Nb 0.250 0.250 0.250

---

5.
The following is a DFT calculation (SCAN) of a PBEsol-optimized structure of KBa2O.

uncorrected formation energy: -1254 meV per atom
DOS at the Fermi energy: 12.16 states/eV/cell

Lattice parameters (Å, degrees): 8.265 8.265 11.513 90.00 90.00 90.00
Space group I-42d (No. 122)
Symmetry-distinct sites (fractional):
K 0.000 0.000 0.000
Ba 0.055 0.750 0.625
O 0.000 0.000 0.500

---

6.
The following is a DFT calculation (SCAN) of a PBEsol-optimized structure of KY3Co.

energy of formation from the pure elements: 8.0 eV per formula unit
DOS at the Fermi energy: 3.51 states/eV/cell

Lattice parameters (Å, degrees): 5.066 5.066 5.066 90.00 90.00 90.00
Space group Pm-3m (No. 221)
Symmetry-distinct sites (fractional):
K 0.000 0.000 0.000
Y 0.000 0.000 0.500
Co 0.500 0.500 0.500

---

7.
The following is a DFT calculation (SCAN) of a PBEsol-optimized structure of Cd5Pt3.

offset from the most stable computed form: 0.028 eV/atom
energy of formation from the pure elements: -2.1 eV per formula unit
DOS at the Fermi energy: 6.51 states/eV/cell

Lattice parameters (Å, degrees): 7.9690 7.9690 5.3570 90.00 90.00 120.00
Space group P6_3/mcm (No. 193)
Symmetry-distinct sites (fractional):
Cd 0.0000 0.2482 0.2500
Cd 0.3333 0.6667 0.0000
Pt 0.0000 0.3912 0.7500

---

8.
The following is a DFT calculation (SCAN) of a PBEsol-optimized structure of BeNi6Ir.

energy of formation from the pure elements: -0.7 eV per formula unit
DOS at the Fermi energy: 56.41 states/eV/cell

Lattice parameters (Å, degrees): 6.927 9.883 9.885 90.00 90.00 90.00
Space group Cmmm (No. 65)
Symmetry-distinct sites (fractional):
Be 0.000 0.000 0.241
Be 0.000 0.254 0.000
Ni 0.000 0.000 0.000
Ni 0.000 0.000 0.500
Ni 0.000 0.248 0.243
Ni 0.000 0.500 0.000
Ni 0.000 0.500 0.500
Ni 0.242 0.123 0.368
Ni 0.244 0.127 0.120
Ir 0.000 0.251 0.500
Ir 0.000 0.500 0.246

---

9.
The following is a DFT calculation (SCAN) of a PBEsol-optimized structure of KAgBr2.

uncorrected formation energy: -1133 meV per atom
DOS at the Fermi energy: 0.00 states/eV/cell

Lattice parameters (Å, degrees): 4.3028 4.3028 20.7928 90.00 90.00 120.00
Space group R-3m (No. 166, hexagonal axes)
Symmetry-distinct sites (fractional):
K 0.0000 0.0000 0.0000
Ag 0.0000 0.0000 0.5000
Br 0.0000 0.0000 0.2360

---

10.
The following is a DFT calculation (SCAN) of a PBEsol-optimized structure of GdAsO4.

offset from the most stable computed form: 0.108 eV/atom
uncorrected formation energy: -2457 meV per atom
DOS at the Fermi energy: 0.00 states/eV/cell

Lattice parameters (Å, degrees): 5.638 7.729 7.385 90.00 90.00 90.00
Space group Imma (No. 74)
Symmetry-distinct sites (fractional):
Gd 0.000 0.000 0.000
As 0.000 0.250 0.422
O 0.000 0.062 0.302
O 0.237 0.250 0.960

---

11.
The following is a DFT calculation (SCAN) of a PBEsol-optimized structure of LiCuMo2.

offset from the most stable computed form: 0.344 eV/atom
energy of formation from the pure elements: 2.7 eV per formula unit
DOS at the Fermi energy: 14.65 states/eV/cell

Lattice parameters (Å, degrees): 5.952 5.952 5.952 90.00 90.00 90.00
Space group Fm-3m (No. 225)
Symmetry-distinct sites (fractional):
Li 0.000 0.000 0.000
Cu 0.000 0.000 0.500
Mo 0.250 0.250 0.250

---

12.
The following is a DFT calculation (SCAN) of a PBEsol-optimized structure of Pr3Sn5.

energy of formation from the pure elements: -6.2 eV per formula unit
DOS at the Fermi energy: 18.97 states/eV/cell

Lattice parameters (Å, degrees): 10.157 8.118 10.513 90.00 90.00 90.00
Space group Cmcm (No. 63)
Symmetry-distinct sites (fractional):
Pr 0.000 0.133 0.250
Pr 0.201 0.500 0.000
Sn 0.000 0.181 0.548
Sn 0.000 0.479 0.750
Sn 0.212 0.215 0.750

---

| no. | final energy (eV for the cell shown) | total magnetic moment (μB per formula unit) |
| --- | --- | --- |
| 1 | -48.51 | 0.00 |
| 2 | -232.92 | 1.98 |
| 3 | -47.46 | 0.01 |
| 4 | -433.90 | 0.00 |
| 5 | -394.71 | 0.23 |
| 6 | -101.13 | 1.95 |
| 7 | -729.48 | 0.00 |
| 8 | -1385.38 | 4.53 |
| 9 | -249.45 | 0.00 |
| 10 | -474.71 | 6.99 |
| 11 | -338.51 | 0.00 |
| 12 | -1263.19 | 0.00 |